No. 1
Zn2AsN | GGA-PBE | relaxed

As for the energy above the most stable polymorph in this dataset: 0 meV per atom. The calculation puts the total magnetization at 0.00 μB/cell.

It has space group I-42d (No. 122), with a = 5.450 Å, b = 5.450 Å, c = 9.040 Å, α = 90.00°, β = 90.00° and γ = 90.00°. Symmetry generates all atoms from Zn at (0.150, 0.250, 0.125), As at (0.000, 0.000, 0.500) and N at (0.000, 0.000, 0.000).

No. 2
Zn2AsN3 | GGA-PBE | relaxed

The calculation puts the total magnetization at 0.00 μB/cell.

It has space group Imm2 (No. 44), with a = 3.175 Å, b = 9.673 Å, c = 4.673 Å, α = 90.00°, β = 90.00° and γ = 90.00°. Symmetry generates all atoms from Zn at (0.000, 0.169, 0.000), As at (0.000, 0.500, 0.974), N at (0.000, 0.000, 0.714) and N at (0.000, 0.344, 0.767).

No. 3
Zn2AsN | GGA-PBE | relaxed

As for the energy above the most stable polymorph in this dataset: 457 meV per atom. The calculation puts the total magnetization at 4.95 μB/cell.

It has space group R-3m (No. 166, hexagonal axes), with a = 3.8298 Å, b = 3.8298 Å, c = 19.2265 Å, α = 90.00°, β = 90.00° and γ = 120.00°. Symmetry generates all atoms from Zn at (0.0000, 0.0000, 0.0980), As at (0.0000, 0.0000, 0.5000) and N at (0.0000, 0.0000, 0.0000).

No. 4
ZnAs3N | GGA-PBE | relaxed

As for the energy above the most stable polymorph in this dataset: 0 meV per atom. The calculation puts the total magnetization at 0.00 μB/cell.

It has space group Pm-3m (No. 221), with a = 4.377 Å, b = 4.377 Å, c = 4.377 Å, α = 90.00°, β = 90.00° and γ = 90.00°. Symmetry generates all atoms from Zn at (0.000, 0.000, 0.000), As at (0.000, 0.500, 0.500) and N at (0.500, 0.500, 0.500).

No. 5
Zr6AsN | GGA-PBE | relaxed

The calculation puts the total magnetization at 0.00 μB/cell.

It has space group R-3 (No. 148, hexagonal axes), with a = 5.8625 Å, b = 5.8625 Å, c = 17.0868 Å, α = 90.00°, β = 90.00° and γ = 120.00°. Symmetry generates all atoms from Zr at (0.0036, 0.6460, 0.0932), As at (0.0000, 0.0000, 0.0000) and N at (0.0000, 0.0000, 0.5000).

No. 6
Zr3AsN3 | GGA-PBE | relaxed

The calculation puts the total magnetization at 0.00 μB/cell.

It has space group R-3 (No. 148, hexagonal axes), with a = 6.3692 Å, b = 6.3692 Å, c = 19.8739 Å, α = 90.00°, β = 90.00° and γ = 120.00°. Symmetry generates all atoms from Zr at (0.0070, 0.6507, 0.3981), As at (0.0000, 0.0000, 0.1676) and N at (0.0110, 0.7000, 0.6211).

No. 7
ZrAsN2 | GGA-PBE | relaxed

As for the energy above the most stable polymorph in this dataset: 343 meV per atom. The calculation puts the total magnetization at 0.00 μB/cell.

It has space group I-42d (No. 122), with a = 4.993 Å, b = 4.993 Å, c = 10.170 Å, α = 90.00°, β = 90.00° and γ = 90.00°. Symmetry generates all atoms from Zr at (0.000, 0.000, 0.000), As at (0.000, 0.000, 0.500) and N at (0.231, 0.250, 0.125).

No. 8
ZrAs3N | GGA-PBE | relaxed

As for the energy above the most stable polymorph in this dataset: 993 meV per atom. The calculation puts the total magnetization at 2.20 μB/cell.

It has space group Pm-3m (No. 221), with a = 5.204 Å, b = 5.204 Å, c = 5.204 Å, α = 90.00°, β = 90.00° and γ = 90.00°. Symmetry generates all atoms from Zr at (0.000, 0.000, 0.000), As at (0.000, 0.000, 0.500) and N at (0.500, 0.500, 0.500).

No. 9
Zr4AsN2 | GGA-PBE | relaxed

As for the energy above the most stable polymorph in this dataset: 0 meV per atom. The calculation puts the total magnetization at 0.00 μB/cell.

It has space group Cmcm (No. 63), with a = 3.481 Å, b = 10.938 Å, c = 11.578 Å, α = 90.00°, β = 90.00° and γ = 90.00°. Symmetry generates all atoms from Zr at (0.000, 0.000, 0.000), Zr at (0.000, 0.266, 0.107), Zr at (0.000, 0.423, 0.750), As at (0.000, 0.111, 0.750) and N at (0.000, 0.365, 0.563).

No. 10
Zr7As4N4 | GGA-PBE | relaxed

The calculation puts the total magnetization at 0.00 μB/cell.

It has space group I4/mmm (No. 139), with a = 12.775 Å, b = 12.775 Å, c = 5.932 Å, α = 90.00°, β = 90.00° and γ = 90.00°. Symmetry generates all atoms from Zr at (0.000, 0.000, 0.246), Zr at (0.000, 0.297, 0.000), Zr at (0.000, 0.374, 0.500), Zr at (0.219, 0.219, 0.500), As at (0.000, 0.175, 0.500), As at (0.133, 0.133, 0.000) and N at (0.135, 0.365, 0.250).

No. 11
ZrAsN2 | GGA-PBE | relaxed

As for the energy above the most stable polymorph in this dataset: 0 meV per atom. The calculation puts the total magnetization at 0.00 μB/cell.

It has space group R-3m (No. 166, hexagonal axes), with a = 3.2883 Å, b = 3.2883 Å, c = 18.7965 Å, α = 90.00°, β = 90.00° and γ = 120.00°. Symmetry generates all atoms from Zr at (0.0000, 0.0000, 0.0000), As at (0.0000, 0.0000, 0.5000) and N at (0.0000, 0.0000, 0.3943).

No. 12
Zr4AsN2 | GGA-PBE | relaxed

As for the energy above the most stable polymorph in this dataset: 952 meV per atom. The calculation puts the total magnetization at 0.00 μB/cell.

It has space group I4/mmm (No. 139), with a = 4.989 Å, b = 4.989 Å, c = 10.802 Å, α = 90.00°, β = 90.00° and γ = 90.00°. Symmetry generates all atoms from Zr at (0.000, 0.000, 0.247), Zr at (0.000, 0.500, 0.000), As at (0.000, 0.000, 0.500) and N at (0.000, 0.000, 0.061).

In the order shown, the computed uncorrected formation energy values come out to 252 87 709 761 -616 -1309 -112 1225 -1316 -892 -455 -364 meV/atom.